Below is an optimized crystal structure of MnSn2O4, with properties calculated at the GGA+U level.

Cell and atoms, written as POSCAR:
```
MnSn2O4
1.0
6.7121 0.3810 -0.0715
-0.1048 6.7259 0.0658
-3.1849 -3.6636 4.6552
Sn Mn O
4 2 8
Direct
0.6402 0.8733 0.2668 Sn
0.6097 0.3765 0.7330 Sn
0.6250 0.3689 0.2439 Sn
0.1250 0.3771 0.7521 Sn
0.0186 0.0180 0.9991 Mn
0.2314 0.7305 0.4994 Mn
0.3716 0.5942 0.2199 O
0.8785 0.5982 0.7227 O
0.8782 0.1564 0.2752 O
0.3717 0.1471 0.7781 O
0.9259 0.1444 0.7481 O
0.3241 0.5720 0.7184 O
0.3959 0.1831 0.2558 O
0.8542 0.6102 0.2875 O
```

Output
V = 15.0 Å³/atom
Raw total energy = -89.1 eV for the cell shown